[1]
Material: DyHoZnHg
Method: DFT, PBE
State: relaxed

a b c (Å): 3.602 3.602 7.397
angles (deg): 90.00 90.00 90.00
Sites, in units of the cell vectors:
Dy 0.000 0.000 0.000
Ho 0.000 0.000 0.533
Zn 0.500 0.500 0.764
Hg 0.500 0.500 0.269

Values from the calculation:
Crystal system   tetragonal
Energy of formation from the pure elements   -0.4147 eV per atom
Energy above the most stable polymorph in this dataset   0.000 eV per atom
Symmetry   P4mm (99)
N(E_F)   3.7 states/eV/f.u.

[2]
Material: DyHgI3
Method: DFT, PBE
State: relaxed

a b c (Å): 11.173 11.173 7.728
angles (deg): 90.11 90.11 76.41
Sites, in units of the cell vectors:
Dy 0.169 0.331 0.072
Dy 0.331 0.169 0.572
Dy 0.669 0.831 0.428
Dy 0.831 0.669 0.928
Hg 0.223 0.777 0.250
Hg 0.277 0.723 0.750
Hg 0.723 0.277 0.250
Hg 0.777 0.223 0.750
I 0.033 0.468 0.760
I 0.101 0.168 0.358
I 0.168 0.101 0.858
I 0.332 0.399 0.359
I 0.399 0.332 0.859
I 0.468 0.033 0.260
I 0.532 0.967 0.740
I 0.601 0.668 0.141
I 0.668 0.601 0.641
I 0.832 0.899 0.142
I 0.899 0.832 0.642
I 0.967 0.532 0.240

Values from the calculation:
Crystal system   monoclinic
Formation energy without anion corrections   -1.04 eV per atom
Energy above the most stable polymorph in this dataset   0.057 eV per atom
Symmetry   C2/c (15)
N(E_F)   0.0 states/eV/f.u.

[3]
Material: Dy3HgI7
Method: DFT, PBE
State: relaxed

a b c (Å): 8.558 8.558 7.265
angles (deg): 90.00 90.00 120.00
Sites, in units of the cell vectors:
Dy 0.168 0.337 0.000
Dy 0.168 0.832 0.000
Dy 0.663 0.832 0.000
Hg 0.000 0.000 0.748
I 0.327 0.164 0.246
I 0.333 0.667 0.259
I 0.502 0.004 0.757
I 0.502 0.498 0.757
I 0.836 0.164 0.246
I 0.836 0.673 0.246
I 0.996 0.498 0.757

Values from the calculation:
Crystal system   trigonal
Formation energy without anion corrections   -1.08 eV per atom
Symmetry   P3m1 (156)
N(E_F)   5.2 states/eV/f.u.

[4]
Material: DyHgI3
Method: DFT, PBE
State: relaxed

a b c (Å): 6.042 6.042 6.042
angles (deg): 90.00 90.00 90.00
Sites, in units of the cell vectors:
Dy 0.000 0.000 0.000
Hg 0.500 0.500 0.500
I 0.000 0.000 0.500
I 0.000 0.500 0.000
I 0.500 0.000 0.000

Values from the calculation:
Crystal system   cubic
Formation energy without anion corrections   -0.98 eV per atom
Energy above the most stable polymorph in this dataset   0.123 eV per atom
Symmetry   Pm-3m (221)
N(E_F)   0.0 states/eV/f.u.

[5]
Material: Dy2HgI
Method: DFT, PBE
State: relaxed

a b c (Å): 8.029 8.029 8.029
angles (deg): 30.93 30.93 30.93
Sites, in units of the cell vectors:
Dy 0.239 0.239 0.239
Dy 0.761 0.761 0.761
Hg 0.500 0.500 0.500
I 0.000 0.000 0.000

Values from the calculation:
Crystal system   trigonal
Formation energy without anion corrections   -0.54 eV per atom
Energy above the most stable polymorph in this dataset   0.023 eV per atom
Symmetry   R-3m (166)
N(E_F)   3.0 states/eV/f.u.

[6]
Material: DyHgI2
Method: DFT, PBE
State: relaxed

a b c (Å): 12.460 12.460 12.460
angles (deg): 18.90 18.90 18.90
Sites, in units of the cell vectors:
Dy 0.000 0.000 0.000
Hg 0.500 0.500 0.500
I 0.387 0.387 0.387
I 0.613 0.613 0.613

Values from the calculation:
Crystal system   trigonal
Formation energy without anion corrections   -0.87 eV per atom
Symmetry   R-3m (166)
N(E_F)   1.7 states/eV/f.u.